# 1
42
Lattice="-1.751 0.035 7.376 -3.796 -7.536 2.185 8.267 -5.366 4.834" Properties=species:S:1:pos:R:3 comment="PBE BaYF5, optimized geometry" raw_formation_energy_ev_per_atom=-4.007 dft_energy_ev_per_atom=-6.542 e_above_lowest_polymorph_kj_per_mol_fu=22.7 pbc="T T T"
Y 1.759 -8.079 6.119
Y -2.066 -8.779 5.476
Y 4.786 -4.088 8.919
Y 5.921 -7.468 6.900
Y 0.961 -4.787 8.275
Y -3.201 -5.399 7.495
F 6.124 -6.668 4.809
F 3.310 -11.042 10.853
F 1.610 -3.108 4.469
F 3.447 -9.192 12.851
F 5.624 -5.007 6.867
F -0.727 -3.675 1.544
F 2.609 -9.360 7.672
F -3.403 -6.198 9.585
F 2.959 -4.009 7.475
F 5.415 -9.080 8.310
F 1.819 -10.088 5.077
F 1.374 -7.056 8.341
F 0.625 -0.890 1.362
F -2.904 -7.860 7.527
F -0.238 -8.858 6.919
F 3.750 -7.046 6.633
F -0.048 -5.390 10.195
F 0.111 -3.507 6.723
F 0.901 -2.779 9.317
F -0.105 -7.736 4.573
F 2.768 -7.477 4.200
F -2.695 -3.787 6.085
F 2.095 -11.977 13.032
F 1.346 -5.811 6.054
F -2.420 -6.463 5.400
F -1.029 -5.820 7.762
F -0.589 -1.825 3.542
F 5.140 -6.404 8.995
F 1.110 -9.759 9.925
F 2.825 -5.130 9.822
Ba 4.095 -11.354 8.179
Ba 3.172 -8.053 10.116
Ba -0.869 -8.086 9.481
Ba 3.590 -4.780 4.914
Ba -0.452 -4.813 4.278
Ba -1.375 -1.513 6.216

***

# 2
5
Lattice="-1.755 4.550 -3.141 1.734 -2.676 -4.846 -5.250 -2.405 -0.550" Properties=species:S:1:pos:R:3 comment="PBE BaY3F, optimized geometry" raw_formation_energy_ev_per_atom=0.933 dft_energy_ev_per_atom=-3.704 e_above_lowest_polymorph_kj_per_mol_fu=785.7 pbc="T T T"
Y 0.867 -1.338 -2.423
Y -0.878 2.275 -1.570
Y -2.625 -1.203 -0.275
F -2.636 -0.266 -4.268
Ba 0.000 0.000 0.000

***

# 3
40
Lattice="13.177 0.000 0.000 0.000 5.925 0.002 0.000 0.105 8.890" Properties=species:S:1:pos:R:3 comment="PBE Ba2YF7, optimized geometry" raw_formation_energy_ev_per_atom=-3.993 dft_energy_ev_per_atom=-6.334 e_above_lowest_polymorph_kj_per_mol_fu=0.0 pbc="T T T"
F 5.210 0.075 0.716
F 5.620 5.267 3.312
F 3.071 0.096 2.672
F 3.518 0.148 7.118
F 9.659 5.882 1.775
F 6.060 4.209 6.318
F 12.648 1.874 7.020
F 11.798 5.903 3.732
F 5.210 2.862 0.847
F 7.557 0.763 5.581
F 0.529 4.157 1.873
F 8.418 4.231 4.155
F 0.969 5.320 7.757
F 10.106 5.935 6.220
F 12.208 0.710 1.136
F 9.915 3.138 6.146
F 7.117 1.821 2.574
F 1.379 2.915 5.292
F 11.348 4.284 8.600
F 1.829 1.747 0.293
F 1.379 0.127 5.161
F 3.262 2.892 2.746
F 7.967 3.168 8.045
F 9.850 3.086 1.701
F 3.327 2.945 7.192
F 7.967 5.956 8.177
F 4.759 1.799 4.738
F 11.798 3.115 3.600
Ba 9.500 1.607 3.937
Ba 3.677 4.423 4.956
Ba 5.759 1.645 7.339
Ba 0.829 1.592 2.894
Ba 2.911 4.371 0.511
Ba 12.348 4.438 5.998
Ba 7.418 4.386 1.553
Ba 10.266 1.660 8.382
Y 11.540 4.614 1.878
Y 4.951 1.363 2.569
Y 8.226 4.667 6.323
Y 1.637 1.416 7.014